(1)
# K3Cr4PO16, optimized geometry, DFT PBE with a Hubbard U
data_K3Cr4PO16
_symmetry_space_group_name_H-M 'P 1'
_symmetry_Int_Tables_number 1
_symmetry_space_group_name_Hall 'P 1'
_cell_length_a 7.700
_cell_length_b 7.700
_cell_length_c 15.368
_cell_angle_alpha 100.14
_cell_angle_beta 100.14
_cell_angle_gamma 102.25
loop_
_atom_site_label
_atom_site_fract_x
_atom_site_fract_y
_atom_site_fract_z
K1 0.122 0.586 0.112
K2 0.242 0.323 0.830
O1 0.499 0.893 0.762
O2 0.845 0.198 0.780
O3 0.572 0.400 0.506
O4 0.587 0.793 0.164
O5 0.215 0.795 0.607
O6 0.120 0.094 0.462
Cr1 0.280 0.809 0.731
O7 0.911 0.626 0.500
O8 0.795 0.215 0.107
K3 0.810 0.838 0.335
O9 0.625 0.761 0.555
O10 0.173 0.470 0.521
O11 0.965 0.496 0.911
O12 0.793 0.587 0.664
K4 0.838 0.810 0.835
O13 0.270 0.237 0.637
O14 0.626 0.911 0.000
O15 0.608 0.225 0.252
Cr2 0.809 0.280 0.231
Cr3 0.790 0.327 0.861
Cr4 0.718 0.592 0.559
O16 0.470 0.173 0.021
P1 0.651 0.120 0.019
O17 0.094 0.120 0.962
O18 0.893 0.499 0.262
O19 0.723 0.182 0.940
P2 0.120 0.651 0.519
O20 0.225 0.608 0.752
O21 0.174 0.943 0.783
O22 0.496 0.965 0.411
O23 0.918 0.207 0.573
O24 0.182 0.723 0.440
O25 0.237 0.270 0.137
O26 0.400 0.572 0.006
K5 0.586 0.122 0.612
O27 0.620 0.405 0.821
O28 0.943 0.174 0.283
K6 0.323 0.242 0.330
O29 0.405 0.620 0.321
Cr5 0.244 0.118 0.051
Cr6 0.327 0.790 0.361
O30 0.198 0.845 0.280
O31 0.761 0.625 0.055
Cr7 0.592 0.718 0.059
O32 0.207 0.918 0.073
Cr8 0.118 0.244 0.551
# E: -6.4427 eV per atom

(2)
# Co2S2F, optimized geometry, DFT PBE with a Hubbard U
data_Co2S2F
_symmetry_space_group_name_H-M 'P 1'
_symmetry_Int_Tables_number 1
_symmetry_space_group_name_Hall 'P 1'
_cell_length_a 4.100
_cell_length_b 4.100
_cell_length_c 6.030
_cell_angle_alpha 70.13
_cell_angle_beta 70.13
_cell_angle_gamma 90.00
loop_
_atom_site_label
_atom_site_fract_x
_atom_site_fract_y
_atom_site_fract_z
S1 0.750 0.250 0.500
Co1 0.646 0.646 0.708
S2 0.250 0.750 0.500
Co2 0.354 0.354 0.292
F1 0.000 0.000 0.000
# E: -4.1511 eV per atom

> Which of these has the lowest E?

K3Cr4PO16

> What is the E in the second record?

-4.1511 eV per atom

What did the first record say?
# K3Cr4PO16, optimized geometry, DFT PBE with a Hubbard U
data_K3Cr4PO16
_symmetry_space_group_name_H-M 'P 1'
_symmetry_Int_Tables_number 1
_symmetry_space_group_name_Hall 'P 1'
_cell_length_a 7.700
_cell_length_b 7.700
_cell_length_c 15.368
_cell_angle_alpha 100.14
_cell_angle_beta 100.14
_cell_angle_gamma 102.25
loop_
_atom_site_label
_atom_site_fract_x
_atom_site_fract_y
_atom_site_fract_z
K1 0.122 0.586 0.112
K2 0.242 0.323 0.830
O1 0.499 0.893 0.762
O2 0.845 0.198 0.780
O3 0.572 0.400 0.506
O4 0.587 0.793 0.164
O5 0.215 0.795 0.607
O6 0.120 0.094 0.462
Cr1 0.280 0.809 0.731
O7 0.911 0.626 0.500
O8 0.795 0.215 0.107
K3 0.810 0.838 0.335
O9 0.625 0.761 0.555
O10 0.173 0.470 0.521
O11 0.965 0.496 0.911
O12 0.793 0.587 0.664
K4 0.838 0.810 0.835
O13 0.270 0.237 0.637
O14 0.626 0.911 0.000
O15 0.608 0.225 0.252
Cr2 0.809 0.280 0.231
Cr3 0.790 0.327 0.861
Cr4 0.718 0.592 0.559
O16 0.470 0.173 0.021
P1 0.651 0.120 0.019
O17 0.094 0.120 0.962
O18 0.893 0.499 0.262
O19 0.723 0.182 0.940
P2 0.120 0.651 0.519
O20 0.225 0.608 0.752
O21 0.174 0.943 0.783
O22 0.496 0.965 0.411
O23 0.918 0.207 0.573
O24 0.182 0.723 0.440
O25 0.237 0.270 0.137
O26 0.400 0.572 0.006
K5 0.586 0.122 0.612
O27 0.620 0.405 0.821
O28 0.943 0.174 0.283
K6 0.323 0.242 0.330
O29 0.405 0.620 0.321
Cr5 0.244 0.118 0.051
Cr6 0.327 0.790 0.361
O30 0.198 0.845 0.280
O31 0.761 0.625 0.055
Cr7 0.592 0.718 0.059
O32 0.207 0.918 0.073
Cr8 0.118 0.244 0.551
# E: -6.4427 eV per atom

> Number 2 is which compound?

Co2S2F